Material: Na4ZnP4H16C2N2O16
Method: DFT, SCAN
State: PBEsol geometry

Cell: 5.5388 6.1612 12.2589 Å, 92.29 92.59 93.65°
With the nearest neighbours (Å) after each atom.
Positions (direct):
Na 0.0213 0.0847 0.3127  6 O 2.39-2.59
Na 0.3950 0.9069 0.8897  3 O 2.24-2.43
Na 0.6050 0.0931 0.1103  3 O 2.24-2.43
Na 0.9787 0.9153 0.6873  6 O 2.39-2.59
Zn 0.0000 0.5000 0.5000  6 O 2.06-2.20
P 0.1395 0.4034 0.7535  3 O 1.53-1.56
P 0.4853 0.7005 0.6357  3 O 1.53-1.54
P 0.5147 0.2995 0.3643  3 O 1.53-1.54
P 0.8605 0.5966 0.2465  3 O 1.53-1.56
H 0.1325 0.3527 0.0967  1 O 1.01
H 0.1455 0.8134 0.1013  1 O 1.00
H 0.2140 0.3125 0.9726  1 O 1.00
H 0.2968 0.7119 0.3722  1 N 1.06
H 0.3102 0.6402 0.0515  1 O 1.01
H 0.4184 0.2597 0.5653  1 N 1.06
H 0.4255 0.5305 0.2165  1 C 1.10
H 0.4990 0.1123 0.6795  1 N 1.07
H 0.5010 0.8877 0.3205  1 N 1.07
H 0.5745 0.4695 0.7835  1 C 1.10
H 0.5816 0.7403 0.4347  1 N 1.06
H 0.6898 0.3598 0.9485  1 O 1.01
H 0.7032 0.2881 0.6278  1 N 1.06
H 0.7860 0.6875 0.0274  1 O 1.00
H 0.8545 0.1866 0.8987  1 O 1.00
H 0.8675 0.6473 0.9033  1 O 1.01
C 0.4494 0.4500 0.7105  1 H 1.10
C 0.5506 0.5500 0.2895  1 H 1.10
N 0.4838 0.7346 0.3586  3 H 1.06-1.07
N 0.5162 0.2654 0.6414  3 H 1.06-1.07
O 0.0014 0.3235 0.6443  1 P 1.56, 1 H 1.65
O 0.0676 0.6198 0.8034  1 P 1.53, 1 H 1.70
O 0.1298 0.2140 0.8325  1 P 1.55
O 0.2452 0.7335 0.5718  1 P 1.54
O 0.2749 0.3569 0.0485  2 H 1.00-1.01
O 0.2983 0.8019 0.0620  2 H 1.00-1.01
O 0.3003 0.3192 0.4394  1 P 1.54, 1 H 1.71
O 0.4550 0.1176 0.2766  1 P 1.53, 1 H 1.57
O 0.5450 0.8824 0.7234  1 P 1.53, 1 H 1.57
O 0.6997 0.6808 0.5606  1 P 1.54, 1 H 1.71
O 0.7017 0.1981 0.9380  2 H 1.00-1.01
O 0.7251 0.6431 0.9515  2 H 1.00-1.01
O 0.7548 0.2665 0.4282  1 P 1.54
O 0.8702 0.7860 0.1675  1 P 1.55
O 0.9324 0.3802 0.1966  1 P 1.53, 1 H 1.70
O 0.9986 0.6765 0.3557  1 P 1.56, 1 H 1.65

Summary:
ρ   2.413 g/cm3
DOS(E_F)   0.00 states/eV/cell
Final energy   -7.34 eV per atom
Space group   P-1, No. 2
V   416.7 Å³/cell